A relaxed structure of CsBeFe2I8. Source: Alexandria, functional PBE.

Values from the calculation:
* V: 505.8 Å³/cell
* uncorrected formation energy: -0.380 eV per atom
* energy: -3.206 eV/atom
* crystal system: monoclinic
* magnetic moment: 9.0 μB per formula unit

abc: 7.0675 7.0675 10.9806
angles: 82.92 82.92 68.84
Site moments in Bohr magnetons follow the coordinates.
Positions (direct):
Cs 0.0000 0.0000 0.5000  0.01
I 0.7783 0.2634 0.8153  0.13
I 0.6786 0.6786 0.4116  0.14
I 0.2634 0.7783 0.8153  0.13
I 0.2217 0.7366 0.1847  0.13
I 0.7366 0.2217 0.1847  0.13
I 0.2263 0.2263 0.9943  0.15
I 0.7737 0.7737 0.0057  0.15
I 0.3214 0.3214 0.5884  0.14
Be 0.0000 0.0000 0.0000  0.01
Fe 0.3844 0.3844 0.8013  3.41
Fe 0.6156 0.6156 0.1987  3.41

=====

A relaxed structure of ReOs. Source: Alexandria, functional PBE.

Values from the calculation:
* V: 249.5 Å³/cell
* energy: -11.399 eV/atom
* offset from the most stable computed form: 533 meV/atom
* crystal system: tetragonal
* magnetic moment: 0.0 μB per formula unit
* ΔH_f (0 K): 440 meV/atom

abc: 9.4522 9.4522 2.7926
angles: 90.00 90.00 90.00
Positions (direct):
Os 0.8224 0.0944 0.5000
Os 0.1776 0.9056 0.5000
Os 0.8309 0.5883 0.0000
Os 0.5883 0.1691 0.0000
Os 0.1691 0.4117 0.0000
Os 0.4117 0.8309 0.0000
Os 0.9056 0.8224 0.5000
Os 0.0944 0.1776 0.5000
Re 0.3330 0.6044 0.5000
Re 0.6739 0.9071 0.0000
Re 0.0929 0.6739 0.0000
Re 0.3956 0.3330 0.5000
Re 0.3261 0.0929 0.0000
Re 0.6044 0.6670 0.5000
Re 0.9071 0.3261 0.0000
Re 0.6670 0.3956 0.5000

=====

A relaxed structure of PuPa6Re. Source: Alexandria, functional PBE.

Values from the calculation:
* V: 206.5 Å³/cell
* energy: -10.342 eV/atom
* crystal system: monoclinic
* magnetic moment: 0.0 μB per formula unit
* ΔH_f (0 K): 127 meV/atom

abc: 6.5149 6.6307 5.9119
angles: 55.89 83.06 77.55
Positions (direct):
Pu 0.0000 0.0000 0.0000
Re 0.5000 0.5000 0.0000
Pa 0.7467 0.0262 0.3413
Pa 0.2021 0.2745 0.0000
Pa 0.7979 0.7255 0.0000
Pa 0.7467 0.3674 0.6587
Pa 0.2533 0.9738 0.6587
Pa 0.2533 0.6326 0.3413

=====

A relaxed structure of YPOs4. Source: Alexandria, functional PBE.

Values from the calculation:
* V: 103.3 Å³/cell
* energy: -9.026 eV/atom
* crystal system: cubic
* magnetic moment: 0.0 μB per formula unit
* ΔH_f (0 K): 440 meV/atom

abc: 5.2662 5.2662 5.2662
angles: 60.00 60.00 60.00
Positions (direct):
Y 0.0000 0.0000 0.0000
Os 0.8729 0.3757 0.3757
Os 0.3757 0.3757 0.8729
Os 0.3757 0.8729 0.3757
Os 0.3757 0.3757 0.3757
P 0.7500 0.7500 0.7500

=====

Please write out number 4 again, unchanged.
A relaxed structure of YPOs4. Source: Alexandria, functional PBE.

Values from the calculation:
* V: 103.3 Å³/cell
* energy: -9.026 eV/atom
* crystal system: cubic
* magnetic moment: 0.0 μB per formula unit
* ΔH_f (0 K): 440 meV/atom

abc: 5.2662 5.2662 5.2662
angles: 60.00 60.00 60.00
Positions (direct):
Y 0.0000 0.0000 0.0000
Os 0.8729 0.3757 0.3757
Os 0.3757 0.3757 0.8729
Os 0.3757 0.8729 0.3757
Os 0.3757 0.3757 0.3757
P 0.7500 0.7500 0.7500

=====

Q: Among the records above, which one has the highest V?
A: CsBeFe2I8

=====

Q: The lowest V belongs to which entry?
A: YPOs4

=====

Q: Which value of V does entry 4 give?
A: 103.3 Å³/cell